[1]
The following is a GGA-PBE calculation of K2ZnCrCd after structural relaxation, from Alexandria via LeMat-Bulk.

Cell: 6.312 6.312 5.090 Å, 90.00 90.00 90.00°
Fractional positions:
K: 0.000 0.500 0.000
K: 0.500 0.000 0.000
Zn: 0.000 0.000 0.000
Cr: 0.000 0.000 0.500
Cd: 0.500 0.500 0.500

Summary:
The calculation puts the total magnetization at 4.6 μB per formula unit. The electronic total energy comes out at -2.230 eV/atom. Its energy of formation is 276 kJ/mol of formula units.


[2]
The following is a GGA-PBE calculation of K2ZrCrCd after structural relaxation, from Alexandria via LeMat-Bulk.

Cell: 6.056 6.056 5.671 Å, 90.00 90.00 90.00°
Fractional positions:
K: 0.000 0.500 0.000
K: 0.500 0.000 0.000
Zr: 0.000 0.000 0.500
Cr: 0.500 0.500 0.500
Cd: 0.000 0.000 0.000

Summary:
The calculation puts the total magnetization at 3.0 μB per formula unit. The electronic total energy comes out at -2.508 eV/atom. Its energy of formation is 843 kJ/mol of formula units.


[3]
The following is a GGA-PBE calculation of LaCrCd2 after structural relaxation, from Alexandria via LeMat-Bulk.

Cell: 3.583 3.583 7.603 Å, 90.00 90.00 90.00°
Fractional positions:
La: 0.000 0.000 0.000
Cr: 0.500 0.500 0.729
Cd: 0.000 0.000 0.541
Cd: 0.500 0.500 0.307

Summary:
The calculation puts the total magnetization at 4.0 μB per formula unit. The electronic total energy comes out at -3.929 eV/atom. Its energy of formation is 64 kJ/mol of formula units.


[4]
The following is a GGA-PBE calculation of LaCrCd3 after structural relaxation, from Alexandria via LeMat-Bulk.

Cell: 5.161 5.161 5.161 Å, 90.00 90.00 90.00°
Fractional positions:
La: 0.000 0.000 0.000
Cr: 0.500 0.500 0.500
Cd: 0.000 0.500 0.500
Cd: 0.500 0.000 0.500
Cd: 0.500 0.500 0.000

Summary:
The calculation puts the total magnetization at 3.0 μB per formula unit. The electronic total energy comes out at -3.220 eV/atom. Its energy of formation is 116 kJ/mol of formula units.


[5]
The following is a GGA-PBE calculation of LaCrCd2 after structural relaxation, from Alexandria via LeMat-Bulk.

Cell: 5.169 5.169 5.169 Å, 121.68 120.13 88.44°
Fractional positions:
La: 0.000 0.000 0.000
Cr: 0.253 0.753 0.500
Cd: 0.499 0.499 0.000
Cd: 0.745 0.245 0.500

Summary:
The calculation puts the total magnetization at 4.8 μB per formula unit. The electronic total energy comes out at -4.023 eV/atom. Its energy of formation is 28 kJ/mol of formula units.


[6]
The following is a GGA-PBE calculation of LaCrCd2 after structural relaxation, from Alexandria via LeMat-Bulk.

Cell: 3.264 4.742 6.557 Å, 90.00 101.42 90.00°
Fractional positions:
La: 0.000 0.000 0.000
Cr: 0.295 0.500 0.677
Cd: 0.610 0.500 0.259
Cd: 0.687 0.000 0.508

Summary:
The calculation puts the total magnetization at 3.8 μB per formula unit. The electronic total energy comes out at -3.907 eV/atom. Its energy of formation is 73 kJ/mol of formula units.


[7]
The following is a GGA-PBE calculation of LaCrCd after structural relaxation, from Alexandria via LeMat-Bulk.

Cell: 4.901 4.901 4.901 Å, 60.00 60.00 60.00°
Fractional positions:
La: 0.000 0.000 0.000
Cr: 0.250 0.250 0.250
Cd: 0.500 0.500 0.500

Summary:
The calculation puts the total magnetization at 3.6 μB per formula unit. The electronic total energy comes out at -4.802 eV/atom. Its energy of formation is 102 kJ/mol of formula units.


[8]
The following is a GGA-PBE calculation of LaCrCd2 after structural relaxation, from Alexandria via LeMat-Bulk.

Cell: 5.673 5.673 5.673 Å, 137.35 124.73 72.23°
Fractional positions:
La: 0.000 0.000 0.000
Cr: 0.736 0.236 0.500
Cd: 0.274 0.774 0.500
Cd: 0.508 0.508 0.000

Summary:
The calculation puts the total magnetization at 4.6 μB per formula unit. The electronic total energy comes out at -3.908 eV/atom. Its energy of formation is 72 kJ/mol of formula units.


[9]
The following is a GGA-PBE calculation of LaCrCd2 after structural relaxation, from Alexandria via LeMat-Bulk.

Cell: 11.463 11.463 11.463 Å, 159.11 159.11 29.71°
Fractional positions:
La: 0.000 0.000 0.000
La: 0.750 0.250 0.500
Cr: 0.250 0.750 0.500
Cr: 0.500 0.500 0.000
Cd: 0.156 0.625 0.031
Cd: 0.375 0.406 0.531
Cd: 0.594 0.125 0.969
Cd: 0.875 0.844 0.469

Summary:
The calculation puts the total magnetization at 0.0 μB per formula unit. The electronic total energy comes out at -3.426 eV/atom. Its energy of formation is 258 kJ/mol of formula units.


[10]
The following is a GGA-PBE calculation of LaCrCd after structural relaxation, from Alexandria via LeMat-Bulk.

Cell: 5.123 5.123 5.123 Å, 60.00 60.00 60.00°
Fractional positions:
La: 0.000 0.000 0.000
Cr: 0.750 0.750 0.750
Cd: 0.250 0.250 0.250

Summary:
The calculation puts the total magnetization at 3.9 μB per formula unit. The electronic total energy comes out at -4.382 eV/atom. Its energy of formation is 224 kJ/mol of formula units.


[11]
The following is a GGA-PBE calculation of LaCrCd3 after structural relaxation, from Alexandria via LeMat-Bulk.

Cell: 6.060 6.060 6.060 Å, 90.00 90.00 90.00°
Fractional positions:
La: 0.000 0.000 0.000
Cr: 0.500 0.500 0.500
Cd: 0.000 0.000 0.500
Cd: 0.000 0.500 0.000
Cd: 0.500 0.000 0.000

Summary:
The calculation puts the total magnetization at 4.1 μB per formula unit. The electronic total energy comes out at -2.276 eV/atom. Its energy of formation is 571 kJ/mol of formula units.


[12]
The following is a GGA-PBE calculation of La3CrCd after structural relaxation, from Alexandria via LeMat-Bulk.

Cell: 5.314 5.314 5.314 Å, 90.00 90.00 90.00°
Fractional positions:
La: 0.000 0.000 0.500
La: 0.000 0.500 0.000
La: 0.500 0.000 0.000
Cr: 0.000 0.000 0.000
Cd: 0.500 0.500 0.500

Summary:
The calculation puts the total magnetization at 0.0 μB per formula unit. The electronic total energy comes out at -4.900 eV/atom. Its energy of formation is 79 kJ/mol of formula units.


[13]
The following is a GGA-PBE calculation of LaCrCd after structural relaxation, from Alexandria via LeMat-Bulk.

Cell: 6.424 6.424 6.424 Å, 147.95 147.95 45.96°
Fractional positions:
La: 0.000 0.000 0.000
Cr: 0.673 0.673 0.000
Cd: 0.294 0.294 0.000

Summary:
The calculation puts the total magnetization at 3.4 μB per formula unit. The electronic total energy comes out at -4.914 eV/atom. Its energy of formation is 70 kJ/mol of formula units.


[14]
The following is a GGA-PBE calculation of LaCrCd after structural relaxation, from Alexandria via LeMat-Bulk.

Cell: 5.030 5.030 3.537 Å, 90.00 90.00 120.00°
Fractional positions:
La: 0.000 0.000 0.000
Cr: 0.333 0.667 0.500
Cd: 0.667 0.333 0.500

Summary:
The calculation puts the total magnetization at 4.4 μB per formula unit. The electronic total energy comes out at -4.978 eV/atom. Its energy of formation is 51 kJ/mol of formula units.


[15]
The following is a GGA-PBE calculation of LaCrCd2 after structural relaxation, from Alexandria via LeMat-Bulk.

Cell: 10.112 10.112 10.112 Å, 19.43 19.43 19.43°
Fractional positions:
La: 0.000 0.000 0.000
Cr: 0.247 0.247 0.247
Cd: 0.509 0.509 0.509
Cd: 0.761 0.761 0.761

Summary:
The calculation puts the total magnetization at 3.7 μB per formula unit. The electronic total energy comes out at -3.727 eV/atom. Its energy of formation is 142 kJ/mol of formula units.


[16]
The following is a GGA-PBE calculation of LaCrCd after structural relaxation, from Alexandria via LeMat-Bulk.

Cell: 3.425 3.425 7.530 Å, 90.00 90.00 120.00°
Fractional positions:
La: 0.000 0.000 0.000
Cr: 0.667 0.333 0.659
Cd: 0.333 0.667 0.376

Summary:
The calculation puts the total magnetization at 4.0 μB per formula unit. The electronic total energy comes out at -4.682 eV/atom. Its energy of formation is 137 kJ/mol of formula units.


[17]
The following is a GGA-PBE calculation of LaCrCd2 after structural relaxation, from Alexandria via LeMat-Bulk.

Cell: 3.374 3.706 7.663 Å, 90.00 90.38 90.00°
Fractional positions:
La: 0.000 0.000 0.000
Cr: 0.000 0.000 0.500
Cd: 0.500 0.500 0.301
Cd: 0.500 0.500 0.699

Summary:
The calculation puts the total magnetization at 3.7 μB per formula unit. The electronic total energy comes out at -3.994 eV/atom. Its energy of formation is 39 kJ/mol of formula units.


[18]
The following is a GGA-PBE calculation of LaCrCd2 after structural relaxation, from Alexandria via LeMat-Bulk.

Cell: 4.484 4.484 4.970 Å, 90.00 90.00 90.00°
Fractional positions:
La: 0.000 0.000 0.000
Cr: 0.500 0.500 0.000
Cd: 0.000 0.500 0.500
Cd: 0.500 0.000 0.500

Summary:
The calculation puts the total magnetization at 3.8 μB per formula unit. The electronic total energy comes out at -3.923 eV/atom. Its energy of formation is 66 kJ/mol of formula units.


[19]
The following is a GGA-PBE calculation of LaCrCd2 after structural relaxation, from Alexandria via LeMat-Bulk.

Cell: 5.194 5.194 5.194 Å, 60.00 60.00 60.00°
Fractional positions:
La: 0.000 0.000 0.000
Cr: 0.500 0.500 0.500
Cd: 0.250 0.250 0.250
Cd: 0.750 0.750 0.750

Summary:
The calculation puts the total magnetization at 4.6 μB per formula unit. The electronic total energy comes out at -4.040 eV/atom. Its energy of formation is 21 kJ/mol of formula units.


[20]
The following is a GGA-PBE calculation of LaCrCd2 after structural relaxation, from Alexandria via LeMat-Bulk.

Cell: 10.291 10.291 10.291 Å, 18.77 18.77 18.77°
Fractional positions:
La: 0.000 0.000 0.000
Cr: 0.500 0.500 0.500
Cd: 0.239 0.239 0.239
Cd: 0.761 0.761 0.761

Summary:
The calculation puts the total magnetization at 4.2 μB per formula unit. The electronic total energy comes out at -3.790 eV/atom. Its energy of formation is 118 kJ/mol of formula units.


[21]
The following is a GGA-PBE calculation of La2CrCdN after structural relaxation, from Alexandria via LeMat-Bulk.

Cell: 5.421 5.421 3.825 Å, 90.00 90.00 90.00°
Fractional positions:
La: 0.000 0.500 0.000
La: 0.500 0.000 0.000
Cr: 0.000 0.000 0.500
Cd: 0.500 0.500 0.500
N: 0.000 0.000 0.000

Summary:
The calculation puts the total magnetization at 2.1 μB per formula unit. The electronic total energy comes out at -6.291 eV/atom.